A plane-wave DFT calculation with PBE-GGA was carried out for a relaxed SrLiHg2 crystal.

The value obtained for the calculated formation energy is -0.2178 eV per atom. Its mass density is 6.4 g/cm3. For the calculated total energy, the calculation gives -20.28 eV for the cell shown.

The structure belongs to space group I-42d (No. 122); the cell edges are 5.227, 5.227 and 18.706 Å and the angles 90.00°, 90.00° and 90.00°. Symmetry generates all atoms from Sr at (0.000, 0.000, 0.000), Li at (0.000, 0.000, 0.500) and Hg at (0.126, 0.250, 0.625).

***

A plane-wave DFT calculation with PBE-GGA was carried out for a relaxed SrLi3Hg2 crystal.

For the relative energy among the computed polymorphs, the calculation gives 0 meV/atom. The value obtained for the calculated formation energy is -0.3431 eV per atom. Its mass density is 5.9 g/cm3. For the calculated total energy, the calculation gives -30.26 eV for the cell shown.

The structure belongs to space group P6/mmm (No. 191); the cell edges are 10.3908, 10.3908 and 4.6307 Å and the angles 90.00°, 90.00° and 120.00°. Symmetry generates all atoms from Sr at (0.0000, 0.0000, 0.0000), Sr at (0.3333, 0.6667, 0.5000), Li at (0.0000, 0.2960, 0.5000), Li at (0.0000, 0.5000, 0.0000) and Hg at (0.1902, 0.3803, 0.0000).

***

A plane-wave DFT calculation with PBE-GGA was carried out for a relaxed Sr4LiHg crystal.

For the relative energy among the computed polymorphs, the calculation gives 123 meV/atom. The value obtained for the calculated formation energy is -0.0505 eV per atom. Its mass density is 3.4 g/cm3. For the calculated total energy, the calculation gives -18.49 eV for the cell shown.

The structure belongs to space group C2/m (No. 12); the cell edges are 8.132, 8.132 and 8.152 Å and the angles 90.00°, 90.05° and 90.00°. Symmetry generates all atoms from Sr at (0.250, 0.250, 0.238), Li at (0.000, 0.000, 0.500) and Hg at (0.000, 0.500, 0.000).

***

A plane-wave DFT calculation with PBE-GGA was carried out for a relaxed SrLi3Hg4 crystal.

The value obtained for the calculated formation energy is -0.3661 eV per atom. Its mass density is 8.2 g/cm3. For the calculated total energy, the calculation gives -23.12 eV for the cell shown.

The structure belongs to space group Pmma (No. 51); the cell edges are 9.887, 7.334 and 5.091 Å and the angles 90.00°, 90.00° and 90.00°. Symmetry generates all atoms from Sr at (0.000, 0.000, 0.000), Li at (0.000, 0.500, 0.000), Li at (0.250, 0.000, 0.497), Li at (0.250, 0.500, 0.417), Hg at (0.000, 0.288, 0.500) and Hg at (0.250, 0.292, 0.922).

***

A plane-wave DFT calculation with PBE-GGA was carried out for a relaxed Sr2LiHg crystal.

The value obtained for the calculated formation energy is -0.2869 eV per atom. Its mass density is 4.5 g/cm3. For the calculated total energy, the calculation gives -6.73 eV for the cell shown.

The structure belongs to space group Pm (No. 6); the cell edges are 4.675, 4.828 and 6.694 Å and the angles 90.00°, 110.26° and 90.00°. Symmetry generates all atoms from Sr at (0.000, 0.000, 0.000), Sr at (0.290, 0.500, 0.580), Li at (0.702, 0.000, 0.404) and Hg at (0.580, 0.500, 0.160).

***

A plane-wave DFT calculation with PBE-GGA was carried out for a relaxed SrLi2Hg8 crystal.

For the relative energy among the computed polymorphs, the calculation gives 73 meV/atom. The value obtained for the calculated formation energy is -0.1921 eV per atom. Its mass density is 9.0 g/cm3. For the calculated total energy, the calculation gives -10.04 eV for the cell shown.

The structure belongs to space group P4/mmm (No. 123); the cell edges are 7.193, 7.193 and 6.111 Å and the angles 90.00°, 90.00° and 90.00°. Symmetry generates all atoms from Sr at (0.000, 0.000, 0.000), Li at (0.000, 0.500, 0.500) and Hg at (0.285, 0.285, 0.252).

***

A plane-wave DFT calculation with PBE-GGA was carried out for a relaxed Sr2LiHg10 crystal.

The value obtained for the calculated formation energy is -0.1604 eV per atom. Its mass density is 8.7 g/cm3. For the calculated total energy, the calculation gives -20.76 eV for the cell shown.

The structure belongs to space group Pbam (No. 55); the cell edges are 10.916, 12.837 and 5.983 Å and the angles 90.00°, 90.00° and 90.00°. Symmetry generates all atoms from Sr at (0.146, 0.161, 0.000), Li at (0.000, 0.500, 0.500), Hg at (0.031, 0.885, 0.500), Hg at (0.065, 0.675, 0.240), Hg at (0.196, 0.314, 0.500) and Hg at (0.241, 0.045, 0.500).

***

A plane-wave DFT calculation with PBE-GGA was carried out for a relaxed Sr2LiHg crystal.

The value obtained for the calculated formation energy is -0.2750 eV per atom. Its mass density is 4.6 g/cm3. For the calculated total energy, the calculation gives -6.68 eV for the cell shown.

The structure belongs to space group P4/mmm (No. 123); the cell edges are 4.085, 4.085 and 8.198 Å and the angles 90.00°, 90.00° and 90.00°. Symmetry generates all atoms from Sr at (0.000, 0.000, 0.233), Li at (0.500, 0.500, 0.500) and Hg at (0.500, 0.500, 0.000).

***

Number 1 is which compound? SrLiHg2

***

Which of these has the highest calculated total energy? number 8

***

The highest calculated total energy belongs to which entry? number 8

***

What is the mass density in the third record? 3.4 g/cm3